(1)
# Ba2PmH12Pd3

Crystalline Ba2PmH12Pd3 at its relaxed geometry (PBE, the Alexandria database).

Summary:
The calculation puts the total energy at -212.38 eV for the cell shown. The density of states at the Fermi level comes out at 0.186 states/eV/atom.

a b c (Å): 6.9380 6.9380 15.2829
angles (deg): 90.00 90.00 120.00
Space group R-3m (No. 166, hexagonal axes)
Asymmetric unit:
Ba (0.0000, 0.0000, 0.1115) [6 per cell]
Pm (0.0000, 0.0000, 0.5000) [3 per cell]
H (0.0222, 0.5111, 0.8872) [18 per cell]
H (0.0853, 0.5427, 0.3171) [18 per cell]
Pd (0.0000, 0.5000, 0.0000) [9 per cell]

(2)
# BaPmH8Pd2

Crystalline BaPmH8Pd2 at its relaxed geometry (PBE, the Alexandria database).

Summary:
The calculation puts the total energy at -138.41 eV for the cell shown. The density of states at the Fermi level comes out at 0.220 states/eV/atom.

a b c (Å): 5.1694 5.1694 19.7048
angles (deg): 90.00 90.00 120.00
Space group R-3 (No. 148, hexagonal axes)
Asymmetric unit:
Ba (0.0000, 0.0000, 0.0000) [3 per cell]
Pm (0.0000, 0.0000, 0.5000) [3 per cell]
H (0.0000, 0.0000, 0.3078) [6 per cell]
H (0.0332, 0.6115, 0.5561) [18 per cell]
Pd (0.0000, 0.0000, 0.2260) [6 per cell]

(3)
# Ba2PrH12Pd3

Crystalline Ba2PrH12Pd3 at its relaxed geometry (PBE, the Alexandria database).

Summary:
The calculation puts the total energy at -212.11 eV for the cell shown. The density of states at the Fermi level comes out at 0.187 states/eV/atom.

a b c (Å): 6.9441 6.9441 15.4529
angles (deg): 90.00 90.00 120.00
Space group R-3m (No. 166, hexagonal axes)
Asymmetric unit:
Ba (0.0000, 0.0000, 0.1106) [6 per cell]
Pr (0.0000, 0.0000, 0.5000) [3 per cell]
H (0.0285, 0.5143, 0.8886) [18 per cell]
H (0.0856, 0.5428, 0.3163) [18 per cell]
Pd (0.0000, 0.5000, 0.0000) [9 per cell]

(4)
# Ba2HPdPt

Crystalline Ba2HPdPt at its relaxed geometry (PBE, the Alexandria database).

Summary:
Its energy above the most stable polymorph in this dataset is 0.00 eV per formula unit. The density of states at the Fermi level comes out at 0.339 states/eV/atom.

a b c (Å): 6.905 4.492 8.931
angles (deg): 90.00 109.39 90.00
Space group P2_1/m (No. 11)
Asymmetric unit:
Ba (0.210, 0.250, 0.417) [2 per cell]
Ba (0.247, 0.250, 0.953) [2 per cell]
H (0.160, 0.750, 0.165) [2 per cell]
Pd (0.419, 0.750, 0.236) [2 per cell]
Pt (0.329, 0.750, 0.710) [2 per cell]

(5)
# BaH6PdPt

Crystalline BaH6PdPt at its relaxed geometry (PBE, the Alexandria database).

Summary:
The calculation puts the total energy at -36.49 eV for the cell shown. The density of states at the Fermi level comes out at 0.035 states/eV/atom.

a b c (Å): 5.0880 5.0880 4.8867
angles (deg): 90.00 90.00 120.00
Space group P312 (No. 149)
Asymmetric unit:
Ba (0.0000, 0.0000, 0.0000) [1 per cell]
H (0.4236, 0.0214, 0.6916) [6 per cell]
Pd (0.3333, 0.6667, 0.5000) [1 per cell]
Pt (0.6667, 0.3333, 0.5000) [1 per cell]

(6)
# BaH8PdPt2

Crystalline BaH8PdPt2 at its relaxed geometry (PBE, the Alexandria database).

Summary:
The calculation puts the total energy at -145.17 eV for the cell shown. The density of states at the Fermi level comes out at 0.107 states/eV/atom.

a b c (Å): 4.9831 4.9831 18.1220
angles (deg): 90.00 90.00 120.00
Space group R-3 (No. 148, hexagonal axes)
Asymmetric unit:
Ba (0.0000, 0.0000, 0.0000) [3 per cell]
H (0.0000, 0.0000, 0.2991) [6 per cell]
H (0.0077, 0.3211, 0.1227) [18 per cell]
Pd (0.0000, 0.0000, 0.5000) [3 per cell]
Pt (0.0000, 0.0000, 0.2075) [6 per cell]

(7)
# Ba5HPd2Pt

Crystalline Ba5HPd2Pt at its relaxed geometry (PBE, the Alexandria database).

Summary:
The calculation puts the total energy at -134.83 eV for the cell shown. The density of states at the Fermi level comes out at 0.504 states/eV/atom.

a b c (Å): 4.616 19.271 13.650
angles (deg): 90.00 90.00 90.00
Space group Cmc2_1 (No. 36)
Asymmetric unit:
Ba (0.000, 0.012, 0.000) [4 per cell]
Ba (0.000, 0.158, 0.264) [4 per cell]
Ba (0.000, 0.176, 0.626) [4 per cell]
Ba (0.000, 0.209, 0.938) [4 per cell]
Ba (0.000, 0.481, 0.245) [4 per cell]
H (0.000, 0.040, 0.670) [4 per cell]
Pd (0.000, 0.374, 0.588) [4 per cell]
Pd (0.000, 0.394, 0.936) [4 per cell]
Pt (0.000, 0.320, 0.286) [4 per cell]

(8)
# Ba2HPdPt

Crystalline Ba2HPdPt at its relaxed geometry (PBE, the Alexandria database).

Summary:
Its energy above the most stable polymorph in this dataset is 0.04 eV per formula unit. The density of states at the Fermi level comes out at 0.085 states/eV/atom.

a b c (Å): 5.587 5.587 3.812
angles (deg): 90.00 90.00 90.00
Space group P4/mmm (No. 123)
Asymmetric unit:
Ba (0.000, 0.500, 0.000) [2 per cell]
H (0.000, 0.000, 0.000) [1 per cell]
Pd (0.000, 0.000, 0.500) [1 per cell]
Pt (0.500, 0.500, 0.500) [1 per cell]

(9)
# Ba6HPdPt2

Crystalline Ba6HPdPt2 at its relaxed geometry (PBE, the Alexandria database).

Summary:
The calculation puts the total energy at -112.04 eV for the cell shown. The density of states at the Fermi level comes out at 0.576 states/eV/atom.

a b c (Å): 7.7693 7.7693 22.1880
angles (deg): 90.00 90.00 120.00
Space group R3 (No. 146, hexagonal axes)
Asymmetric unit:
Ba (0.0009, 0.3435, 0.0000) [9 per cell]
Ba (0.0188, 0.6684, 0.4986) [9 per cell]
H (0.0000, 0.0000, 0.7435) [3 per cell]
Pd (0.0000, 0.0000, 0.2453) [3 per cell]
Pt (0.0000, 0.0000, 0.4185) [3 per cell]
Pt (0.0000, 0.0000, 0.9229) [3 per cell]

(10)
# Ba2HPdPt

Crystalline Ba2HPdPt at its relaxed geometry (PBE, the Alexandria database).

Summary:
Its energy above the most stable polymorph in this dataset is 0.19 eV per formula unit. The density of states at the Fermi level comes out at 0.225 states/eV/atom.

a b c (Å): 5.582 5.582 3.866
angles (deg): 90.00 90.00 90.00
Space group P4/mmm (No. 123)
Asymmetric unit:
Ba (0.000, 0.500, 0.000) [2 per cell]
H (0.000, 0.000, 0.000) [1 per cell]
Pd (0.500, 0.500, 0.500) [1 per cell]
Pt (0.000, 0.000, 0.500) [1 per cell]

(11)
# Ba2PuH12Pd3

Crystalline Ba2PuH12Pd3 at its relaxed geometry (PBE, the Alexandria database).

Summary:
The calculation puts the total energy at -238.24 eV for the cell shown. The density of states at the Fermi level comes out at 0.600 states/eV/atom.

a b c (Å): 6.9438 6.9438 15.2231
angles (deg): 90.00 90.00 120.00
Space group R-3m (No. 166, hexagonal axes)
Asymmetric unit:
Ba (0.0000, 0.0000, 0.1144) [6 per cell]
Pu (0.0000, 0.0000, 0.5000) [3 per cell]
H (0.0157, 0.5079, 0.8862) [18 per cell]
H (0.0926, 0.5463, 0.3144) [18 per cell]
Pd (0.0000, 0.5000, 0.0000) [9 per cell]

(12)
# Rb2BaH6Pd

Crystalline Rb2BaH6Pd at its relaxed geometry (PBE, the Alexandria database).

Summary:
The calculation puts the total energy at -31.08 eV for the cell shown. The density of states at the Fermi level comes out at 0.312 states/eV/atom.

a b c (Å): 6.0311 6.0311 6.8330
angles (deg): 90.00 90.00 120.00
Space group P-3m1 (No. 164)
Asymmetric unit:
Rb (0.3333, 0.6667, 0.3598) [2 per cell]
Ba (0.0000, 0.0000, 0.0000) [1 per cell]
H (0.1299, 0.2599, 0.6494) [6 per cell]
Pd (0.0000, 0.0000, 0.5000) [1 per cell]

(13)
# Rb2BaH8Pd

Crystalline Rb2BaH8Pd at its relaxed geometry (PBE, the Alexandria database).

Summary:
The calculation puts the total energy at -37.99 eV for the cell shown. The density of states at the Fermi level comes out at 0.000 states/eV/atom.

a b c (Å): 5.5965 5.5965 7.1816
angles (deg): 90.00 90.00 120.00
Space group P-3m1 (No. 164)
Asymmetric unit:
Rb (0.3333, 0.6667, 0.3201) [2 per cell]
Ba (0.0000, 0.0000, 0.0000) [1 per cell]
H (0.1366, 0.2733, 0.6360) [6 per cell]
H (0.3333, 0.6667, 0.9371) [2 per cell]
Pd (0.0000, 0.0000, 0.5000) [1 per cell]

(14)
# RbBaH2Pd

Crystalline RbBaH2Pd at its relaxed geometry (PBE, the Alexandria database).

Summary:
The calculation puts the total energy at -11.94 eV for the cell shown. The density of states at the Fermi level comes out at 0.348 states/eV/atom.

a b c (Å): 4.659 4.659 9.580
angles (deg): 90.00 90.00 90.00
Space group P4/mmm (No. 123)
Asymmetric unit:
Rb (0.000, 0.000, 0.000) [1 per cell]
Ba (0.000, 0.000, 0.500) [1 per cell]
H (0.000, 0.500, 0.000) [2 per cell]
Pd (0.500, 0.500, 0.500) [1 per cell]

(15)
# RbBaH4Pd

Crystalline RbBaH4Pd at its relaxed geometry (PBE, the Alexandria database).

Summary:
The calculation puts the total energy at -94.50 eV for the cell shown. The density of states at the Fermi level comes out at 0.230 states/eV/atom.

a b c (Å): 5.440 16.152 5.285
angles (deg): 90.00 90.00 90.00
Space group Cmcm (No. 63)
Asymmetric unit:
Rb (0.000, 0.100, 0.250) [4 per cell]
Ba (0.000, 0.382, 0.250) [4 per cell]
H (0.000, 0.119, 0.750) [4 per cell]
H (0.000, 0.451, 0.750) [4 per cell]
H (0.250, 0.250, 0.000) [8 per cell]
Pd (0.000, 0.238, 0.750) [4 per cell]

(16)
# Ba2HPdRh

Crystalline Ba2HPdRh at its relaxed geometry (PBE, the Alexandria database).

Summary:
Its energy above the most stable polymorph in this dataset is 0.44 eV per formula unit. The density of states at the Fermi level comes out at 0.567 states/eV/atom.

a b c (Å): 5.664 5.664 3.665
angles (deg): 90.00 90.00 90.00
Space group P4/mmm (No. 123)
Asymmetric unit:
Ba (0.000, 0.500, 0.000) [2 per cell]
H (0.000, 0.000, 0.000) [1 per cell]
Pd (0.000, 0.000, 0.500) [1 per cell]
Rh (0.500, 0.500, 0.500) [1 per cell]

(17)
# BaH6PdRh

Crystalline BaH6PdRh at its relaxed geometry (PBE, the Alexandria database).

Summary:
The calculation puts the total energy at -74.55 eV for the cell shown. The density of states at the Fermi level comes out at 0.188 states/eV/atom.

a b c (Å): 5.034 8.623 4.757
angles (deg): 90.00 90.29 90.00
Space group C2 (No. 5)
Asymmetric unit:
Ba (0.000, 0.000, 0.000) [2 per cell]
H (0.186, 0.487, 0.502) [4 per cell]
H (0.239, 0.254, 0.271) [4 per cell]
H (0.240, 0.251, 0.729) [4 per cell]
Pd (0.000, 0.669, 0.500) [2 per cell]
Rh (0.000, 0.320, 0.500) [2 per cell]

(18)
# Ba2HPdRh

Crystalline Ba2HPdRh at its relaxed geometry (PBE, the Alexandria database).

Summary:
Its energy above the most stable polymorph in this dataset is 0.00 eV per formula unit. The density of states at the Fermi level comes out at 0.357 states/eV/atom.

a b c (Å): 5.708 5.708 3.613
angles (deg): 90.00 90.00 90.00
Space group P4/mmm (No. 123)
Asymmetric unit:
Ba (0.000, 0.500, 0.000) [2 per cell]
H (0.000, 0.000, 0.000) [1 per cell]
Pd (0.500, 0.500, 0.500) [1 per cell]
Rh (0.000, 0.000, 0.500) [1 per cell]

(19)
# Ba2H6PdRh

Crystalline Ba2H6PdRh at its relaxed geometry (PBE, the Alexandria database).

Summary:
The calculation puts the total energy at -83.26 eV for the cell shown. The density of states at the Fermi level comes out at 0.127 states/eV/atom.

a b c (Å): 7.608 8.223 5.597
angles (deg): 90.00 132.67 90.00
Space group C2/m (No. 12)
Asymmetric unit:
Ba (0.000, 0.250, 0.000) [4 per cell]
H (0.000, 0.213, 0.500) [4 per cell]
H (0.212, 0.000, 0.925) [4 per cell]
H (0.242, 0.000, 0.498) [4 per cell]
Pd (0.000, 0.500, 0.500) [2 per cell]
Rh (0.000, 0.000, 0.500) [2 per cell]

(20)
# Ba2H6PdRu

Crystalline Ba2H6PdRu at its relaxed geometry (PBE, the Alexandria database).

Summary:
The calculation puts the total energy at -42.83 eV for the cell shown.

a b c (Å): 5.4590 5.4590 5.5255
angles (deg): 90.00 90.00 120.00
Space group P-3m1 (No. 164)
Asymmetric unit:
Ba (0.3333, 0.6667, 0.2444) [2 per cell]
H (0.1480, 0.2960, 0.8127) [6 per cell]
Pd (0.0000, 0.0000, 0.5000) [1 per cell]
Ru (0.0000, 0.0000, 0.0000) [1 per cell]

(21)
# BaHPdS2

Crystalline BaHPdS2 at its relaxed geometry (PBE, the Alexandria database).

Summary:
The calculation puts the total energy at -15.45 eV for the cell shown. The density of states at the Fermi level comes out at 0.951 states/eV/atom.

a b c (Å): 5.798 5.798 4.290
angles (deg): 90.00 90.00 90.00
Space group P4/mmm (No. 123)
Asymmetric unit:
Ba (0.000, 0.000, 0.000) [1 per cell]
H (0.000, 0.000, 0.500) [1 per cell]
Pd (0.500, 0.500, 0.500) [1 per cell]
S (0.000, 0.500, 0.000) [2 per cell]

(22)
# Ba2SbHPd6

Crystalline Ba2SbHPd6 at its relaxed geometry (PBE, the Alexandria database).

Summary:
The calculation puts the total energy at -94.93 eV for the cell shown. The density of states at the Fermi level comes out at 0.412 states/eV/atom.

a b c (Å): 9.373 9.399 6.562
angles (deg): 90.00 134.25 90.00
Space group C2/m (No. 12)
Asymmetric unit:
Ba (0.000, 0.246, 0.000) [4 per cell]
Sb (0.000, 0.000, 0.500) [2 per cell]
H (0.000, 0.500, 0.500) [2 per cell]
Pd (0.000, 0.284, 0.500) [4 per cell]
Pd (0.212, 0.500, 0.493) [4 per cell]
Pd (0.213, 0.500, 0.932) [4 per cell]

no.,V (Å³/f.u.)
1,212
2,152
3,215
4,131
5,110
6,130
7,304
8,119
9,387
10,120
11,212
12,215
13,195
14,208
15,116
16,118
17,103
18,118
19,129
20,143
21,144
22,207